Entry 1:
A relaxed structure of LaCuTe2, computed with GGA-PBE. Values from VASP.

The structure in Quantum ESPRESSO input format:
```
&SYSTEM
  ibrav = 0, nat = 8, ntyp = 3
/
ATOMIC_SPECIES
Te 127.60 Te.upf
Cu 63.55 Cu.upf
La 138.91 La.upf
CELL_PARAMETERS angstrom
6.6988 0.0000 0.0000
0.0000 6.6988 0.0000
3.3494 3.3494 6.4384
ATOMIC_POSITIONS crystal
Te 0.5661 0.1250 0.2500
Te 0.1839 0.6250 0.2500
Te 0.3750 0.4339 0.7500
Te 0.8750 0.8161 0.7500
Cu 0.5000 0.5000 0.0000
Cu 0.2500 0.7500 0.5000
La 0.0000 0.0000 0.0000
La 0.7500 0.2500 0.5000
```

Computed properties:
Space group: No. 122
Formation energy from raw total energies (meV per atom): -739
Total magnetization (μB per formula unit): 0.0

---

Entry 2:
A relaxed structure of LaCu3Te3, computed with GGA-PBE. Values from VASP.

The structure in Quantum ESPRESSO input format:
```
&SYSTEM
  ibrav = 0, nat = 14, ntyp = 3
/
ATOMIC_SPECIES
La 138.91 La.upf
Cu 63.55 Cu.upf
Te 127.60 Te.upf
CELL_PARAMETERS angstrom
-6.1782 -3.1260 3.0606
-1.4678 -7.3444 -1.1019
1.2285 -5.1366 6.5958
ATOMIC_POSITIONS crystal
La 0.3342 0.3342 0.9975
La 0.6658 0.6658 0.0025
Cu 0.4758 0.7615 0.6313
Cu 0.7615 0.1314 0.6313
Cu 0.1314 0.4758 0.6313
Cu 0.8686 0.5242 0.3687
Cu 0.2385 0.8686 0.3687
Cu 0.5242 0.2385 0.3687
Te 0.2274 0.5963 0.2605
Te 0.9158 0.2274 0.2605
Te 0.5963 0.9158 0.2605
Te 0.4037 0.0842 0.7395
Te 0.0842 0.7726 0.7395
Te 0.7726 0.4037 0.7395
```

Computed properties:
Space group: No. 148
Formation energy from raw total energies (meV per atom): -576
Total magnetization (μB per formula unit): 0.0

---

Entry 3:
A relaxed structure of LaCu2Te, computed with GGA-PBE. Values from VASP.

The structure in Quantum ESPRESSO input format:
```
&SYSTEM
  ibrav = 0, nat = 4, ntyp = 3
/
ATOMIC_SPECIES
Cu 63.55 Cu.upf
La 138.91 La.upf
Te 127.60 Te.upf
CELL_PARAMETERS angstrom
-3.6799 1.0571 2.3977
2.1726 -0.3165 3.4739
1.2290 4.9951 -0.3160
ATOMIC_POSITIONS crystal
Cu 0.0000 0.7514 0.0194
Cu 0.0000 0.7486 0.4806
La 0.5000 0.2500 0.2500
Te 0.5000 0.7500 0.7500
```

Computed properties:
Space group: No. 10
Formation energy from raw total energies (meV per atom): -434
Total magnetization (μB per formula unit): 0.0

---

Entry 4:
A relaxed structure of LaCuTe3, computed with GGA-PBE. Values from VASP.

The structure in Quantum ESPRESSO input format:
```
&SYSTEM
  ibrav = 0, nat = 5, ntyp = 3
/
ATOMIC_SPECIES
Te 127.60 Te.upf
Cu 63.55 Cu.upf
La 138.91 La.upf
CELL_PARAMETERS angstrom
-3.7621 0.2705 3.5850
2.2917 -3.8177 2.6929
2.7701 3.5257 2.6409
ATOMIC_POSITIONS crystal
Te 0.0000 0.5000 0.0000
Te 0.0000 0.0000 0.5000
Te 0.5000 0.0000 0.0000
Cu 0.0000 0.0000 0.0000
La 0.5000 0.5000 0.5000
```

Computed properties:
Space group: No. 221
Formation energy from raw total energies (meV per atom): -509
Total magnetization (μB per formula unit): 0.0
Energy relative to the lowest polymorph listed for this composition (meV/atom): 0.0

---

Entry 5:
A relaxed structure of La2CuTe2, computed with GGA-PBE. Values from VASP.

The structure in Quantum ESPRESSO input format:
```
&SYSTEM
  ibrav = 0, nat = 10, ntyp = 3
/
ATOMIC_SPECIES
Te 127.60 Te.upf
Cu 63.55 Cu.upf
La 138.91 La.upf
CELL_PARAMETERS angstrom
8.4574 0.0000 0.0000
0.0000 8.4574 0.0000
0.0000 0.0000 4.3143
ATOMIC_POSITIONS crystal
Te 0.1487 0.6487 0.5000
Te 0.6487 0.8513 0.5000
Te 0.8513 0.3513 0.5000
Te 0.3513 0.1487 0.5000
Cu 0.0000 0.0000 0.0000
Cu 0.5000 0.5000 0.0000
La 0.3439 0.8439 0.0000
La 0.8439 0.6561 0.0000
La 0.6561 0.1561 0.0000
La 0.1561 0.3439 0.0000
```

Computed properties:
Space group: No. 127
Formation energy from raw total energies (meV per atom): -970
Total magnetization (μB per formula unit): 0.0
Energy relative to the lowest polymorph listed for this composition (meV/atom): 0.0

---

Entry 6:
A relaxed structure of LaCuTe2, computed with GGA-PBE. Values from VASP.

The structure in Quantum ESPRESSO input format:
```
&SYSTEM
  ibrav = 0, nat = 4, ntyp = 3
/
ATOMIC_SPECIES
Cu 63.55 Cu.upf
La 138.91 La.upf
Te 127.60 Te.upf
CELL_PARAMETERS angstrom
6.3194 -0.0117 0.0081
4.8622 4.0366 0.0081
0.0348 0.0125 4.8032
ATOMIC_POSITIONS crystal
Cu 0.5383 0.5383 0.4149
La 0.2678 0.2678 0.2071
Te 0.9788 0.9788 0.1748
Te 0.7150 0.7150 0.7032
```

Computed properties:
Space group: No. 8
Formation energy from raw total energies (meV per atom): -929
Total magnetization (μB per formula unit): 0.0